Record 1
A relaxed structure of Zr2SbTe, computed with GGA-PBE.

Cell: 3.826 3.826 6.852 Å, 90.00 90.00 90.00°
Positions (direct):
Zr (0.000, 0.000, 0.000)
Zr (0.500, 0.500, 0.278)
Sb (0.000, 0.000, 0.446)
Te (0.500, 0.500, 0.830)

Crystal system   tetragonal
Energy   -0.503 Ry per atom

Record 2
A relaxed structure of Ho2Al3Co14, computed with GGA-PBE.

Cell: 8.351 8.351 8.163 Å, 90.00 90.00 120.00°
Positions (direct):
Ho (0.000, 0.000, 0.250)
Ho (0.000, 0.000, 0.750)
Ho (0.333, 0.667, 0.250)
Ho (0.667, 0.333, 0.750)
Al (0.000, 0.500, 0.000)
Al (0.000, 0.500, 0.500)
Al (0.500, 0.000, 0.000)
Al (0.500, 0.000, 0.500)
Al (0.500, 0.500, 0.000)
Al (0.500, 0.500, 0.500)
Co (0.045, 0.371, 0.750)
Co (0.045, 0.674, 0.750)
Co (0.163, 0.325, 0.016)
Co (0.163, 0.325, 0.484)
Co (0.163, 0.837, 0.016)
Co (0.163, 0.837, 0.484)
Co (0.325, 0.163, 0.516)
Co (0.325, 0.163, 0.984)
Co (0.326, 0.371, 0.750)
Co (0.326, 0.955, 0.750)
Co (0.333, 0.667, 0.610)
Co (0.333, 0.667, 0.890)
Co (0.371, 0.045, 0.250)
Co (0.371, 0.326, 0.250)
Co (0.629, 0.674, 0.750)
Co (0.629, 0.955, 0.750)
Co (0.667, 0.333, 0.110)
Co (0.667, 0.333, 0.390)
Co (0.674, 0.045, 0.250)
Co (0.674, 0.629, 0.250)
Co (0.675, 0.837, 0.016)
Co (0.675, 0.837, 0.484)
Co (0.837, 0.163, 0.516)
Co (0.837, 0.163, 0.984)
Co (0.837, 0.675, 0.516)
Co (0.837, 0.675, 0.984)
Co (0.955, 0.326, 0.250)
Co (0.955, 0.629, 0.250)

Crystal system   hexagonal
ΔE_f   -0.22 eV per atom

Record 3
A relaxed structure of IrRh2Pb, computed with GGA-PBE.

Cell: 4.823 4.823 2.931 Å, 90.00 90.00 106.17°
Positions (direct):
Ir (0.000, 0.000, 0.000)
Rh (0.000, 0.500, 0.500)
Rh (0.500, 0.000, 0.500)
Pb (0.500, 0.500, 0.000)

Crystal system   orthorhombic
ΔE_f   0.20 eV per atom

Record 4
A relaxed structure of CsMg3Zn, computed with GGA-PBE.

Cell: 7.870 7.870 7.870 Å, 90.00 90.00 90.00°
Positions (direct):
Cs (0.000, 0.000, 0.000)
Mg (0.000, 0.000, 0.500)
Mg (0.000, 0.500, 0.000)
Mg (0.500, 0.000, 0.000)
Zn (0.500, 0.500, 0.500)

Crystal system   cubic
ΔE_f   1.09 eV per atom

Record 5
A relaxed structure of ZnGa8Ir2, computed with GGA-PBE.

Cell: 6.642 6.642 5.002 Å, 99.32 99.32 68.67°
Positions (direct):
Zn (0.000, 0.000, 0.000)
Ga (0.175, 0.606, 0.601)
Ga (0.203, 0.203, 0.806)
Ga (0.394, 0.825, 0.399)
Ga (0.425, 0.425, 0.164)
Ga (0.575, 0.575, 0.836)
Ga (0.606, 0.175, 0.601)
Ga (0.797, 0.797, 0.194)
Ga (0.825, 0.394, 0.399)
Ir (0.217, 0.217, 0.313)
Ir (0.783, 0.783, 0.687)

Crystal system   monoclinic
ΔE_f   -0.19 eV per atom

Record 6
A relaxed structure of PrNdPbAu, computed with GGA-PBE.

Cell: 5.446 5.446 5.446 Å, 60.00 60.00 60.00°
Positions (direct):
Pr (0.000, 0.000, 0.000)
Nd (0.500, 0.500, 0.500)
Pb (0.250, 0.250, 0.250)
Au (0.750, 0.750, 0.750)

Crystal system   cubic
ΔE_f   -0.62 eV per atom

Record 7
A relaxed structure of SrTaPd3, computed with GGA-PBE.

Cell: 4.964 4.964 4.964 Å, 90.00 90.00 90.00°
Positions (direct):
Sr (0.000, 0.000, 0.000)
Ta (0.500, 0.500, 0.500)
Pd (0.000, 0.500, 0.500)
Pd (0.500, 0.000, 0.500)
Pd (0.500, 0.500, 0.000)

Crystal system   cubic
ΔE_f   0.13 eV per atom

Record 8
A relaxed structure of Si2TcHg, computed with GGA-PBE.

Cell: 3.274 4.077 4.916 Å, 90.00 90.00 90.00°
Positions (direct):
Si (0.000, 0.000, 0.000)
Si (0.500, 0.000, 0.500)
Tc (0.000, 0.500, 0.500)
Hg (0.500, 0.500, 0.000)

Crystal system   orthorhombic
Energy   -0.351 Ry per atom

Please write out number 1 again, unchanged.
A relaxed structure of Zr2SbTe, computed with GGA-PBE.

Cell: 3.826 3.826 6.852 Å, 90.00 90.00 90.00°
Positions (direct):
Zr (0.000, 0.000, 0.000)
Zr (0.500, 0.500, 0.278)
Sb (0.000, 0.000, 0.446)
Te (0.500, 0.500, 0.830)

Crystal system   tetragonal
Energy   -0.503 Ry per atom